Entry 1:
This record from the Alexandria database describes Pm6Sm3Dy2Mg after structural relaxation. The functional is PBE.

Cell: 6.2468 10.8333 11.8466 Å, 90.00 100.20 90.00°
Closest atoms and distances in Å follow each position.
Space group C2/m (No. 12)
One atom of each set of equivalent atoms:
Pm: 0.2468 0.1660 0.2458 x8  1 Mg 3.54, 2 Dy 3.54-3.55, 6 Pm 3.59-3.62, 3 Sm 3.62-3.63
Pm: 0.2490 0.5000 0.2474 x4  2 Dy 3.56, 1 Mg 3.56, 6 Pm 3.59-3.62, 3 Sm 3.61
Sm: 0.0000 0.1666 0.5000 x4  6 Pm 3.61-3.63, 6 Sm 3.61
Sm: 0.0000 0.5000 0.5000 x2  6 Sm 3.61, 6 Pm 3.61-3.62
Dy: 0.0000 0.3335 0.0000 x4  6 Pm 3.54-3.56, 3 Mg 3.61, 3 Dy 3.61
Mg: 0.0000 0.0000 0.0000 x2  6 Pm 3.54-3.56, 6 Dy 3.61

Results
D(E_F) (states/eV per cell): 29.0
Energy relative to the elements (eV per atom): 0.02



Entry 2:
This record from the Alexandria database describes KPm2Ir after structural relaxation. The functional is PBE.

Cell: 4.2054 4.2054 33.7451 Å, 90.00 90.00 120.00°
Closest atoms and distances in Å follow each position.
Space group R-3m (No. 166, hexagonal axes)
One atom of each set of equivalent atoms:
K: 0.0000 0.0000 0.0000 x3  2 Pm 4.19, 6 K 4.21
Pm: 0.0000 0.0000 0.1240 x6  3 Ir 2.82
Ir: 0.0000 0.0000 0.5000 x3  6 Pm 2.82

Results
D(E_F) (states/eV per cell): 10.6
E above lowest polymorph (meV per atom): 0
Energy relative to the elements (eV per atom): -0.30



Entry 3:
This record from the Alexandria database describes Pr2Sm3Tm5 after structural relaxation. The functional is PBE.

Cell: 9.4597 21.7918 6.7882 Å, 90.00 90.00 90.00°
Closest atoms and distances in Å follow each position.
Space group Ibam (No. 72)
One atom of each set of equivalent atoms:
Pr: 0.1066 0.1262 0.0000 x8  1 Tm 2.94
Sm: 0.0000 0.0000 0.2500 x4  4 Pr 3.39, 2 Sm 3.39
Sm: 0.2479 0.3686 0.0000 x8  1 Tm 3.13, 1 Pr 3.40
Tm: 0.0000 0.2522 0.2500 x8  4 Tm 3.27-3.39, 2 Pr 3.38
Tm: 0.0000 0.5000 0.2500 x4  6 Tm 3.30-3.39
Tm: 0.0826 0.3754 0.5000 x8  1 Pr 2.94, 1 Sm 3.13, 2 Tm 3.27

Results
D(E_F) (states/eV per cell): 62.7
E above lowest polymorph (meV per atom): 218
Energy relative to the elements (eV per atom): 0.40



Entry 4:
This record from the Alexandria database describes GdHf2Tc after structural relaxation. The functional is PBE.

Cell: 3.3157 3.3157 8.0681 Å, 90.00 90.00 90.00°
Closest atoms and distances in Å follow each position.
Space group P4/mmm (No. 123)
One atom of each set of equivalent atoms:
Gd: 0.0000 0.0000 0.0000 x1  4 Gd 3.32, 8 Hf 3.43
Hf: 0.5000 0.5000 0.3099 x2  4 Tc 2.80, 1 Hf 3.07
Tc: 0.0000 0.0000 0.5000 x1  8 Hf 2.80

Results
D(E_F) (states/eV per cell): 4.8
E above lowest polymorph (meV per atom): 0
Energy relative to the elements (eV per atom): -0.16



Q: Among the records above, which one has the lowest energy relative to the elements?
A: KPm2Ir



Q: Which of these has the highest D(E_F)?
A: Pr2Sm3Tm5



Q: Among the records above, which one has the lowest D(E_F)?
A: GdHf2Tc



Q: Look up the D(E_F) of the third one.
A: 62.7 states/eV per cell